A relaxed structure of ReSi2Te. Source: the Alexandria database, functional GGA-PBE.

Geometry as POSCAR:
```
ReSi2Te
1.0
-1.6742 2.3680 -1.2181
-2.3065 -2.0086 -0.7347
-3.1072 1.1723 6.5500
Si Re Te
2 1 1
Direct
0.0000 0.0000 0.9817 Si
0.5000 0.5000 0.1605 Si
0.5000 0.5000 0.8024 Re
0.0000 0.0000 0.5554 Te
```

The electronic total energy is -6.35 eV per atom. As for the density of states at the Fermi level: 1.279 states/eV per cell. The space-group type is No. 99. The volume is 73 Å³ per cell.